Density functional theory data (PBE) for a geometry-optimized MgAs2PdBr structure.

a b c (Å): 4.8678 4.8678 5.3811
angles (deg): 90.00 90.00 90.00
Space group P4/mmm (No. 123)
Asymmetric unit:
1 Mg 0.0000 0.0000 0.0000 (multiplicity 1)
2 As 0.0000 0.5000 0.5000 (multiplicity 2)
3 Pd 0.5000 0.5000 0.5000 (multiplicity 1)
4 Br 0.5000 0.5000 0.0000 (multiplicity 1)

M_tot, μB per cell: 1.09
DFT total energy, Ry/atom: -0.2426
ΔE_f (raw), eV per atom: 0.25

---

Density functional theory data (PBE) for a geometry-optimized MgAsPtBr2 structure.

a b c (Å): 5.2904 5.2904 4.8352
angles (deg): 90.00 90.00 90.00
Space group P4/mmm (No. 123)
Asymmetric unit:
1 Mg 0.0000 0.0000 0.0000 (multiplicity 1)
2 As 0.5000 0.5000 0.0000 (multiplicity 1)
3 Pt 0.5000 0.5000 0.5000 (multiplicity 1)
4 Br 0.0000 0.5000 0.5000 (multiplicity 2)

M_tot, μB per cell: 0.00
DFT total energy, Ry/atom: -0.2235
ΔE_f (raw), eV per atom: 0.09

---

Which formula does entry 2 have?
MgAsPtBr2